## ScCr2Tc (PBE)

Data for crystalline ScCr2Tc at its relaxed geometry.

Results
M_tot   1.915 μB/f.u.
Calculated formation energy   0.44 eV/atom
Total energy   -8.54 eV per atom
ΔE to the lowest computed polymorph   0.3501 eV/atom

Unit cell a=2.8402 b=2.8402 c=25.7651 alpha=90.00 beta=90.00 gamma=120.00
Space group R-3m (No. 166, hexagonal axes)
Asymmetric unit:
Sc  0.0000  0.0000  0.0000
Cr  0.0000  0.0000  0.2432
Tc  0.0000  0.0000  0.5000